Version A
{
  "formula": "ZrSc2Tc",
  "functional": "PBEsol",
  "state": "optimized geometry",
  "crystal_system": "orthorhombic",
  "lattice": [[-1.877, 0.884, 2.644], [-0.257, -4.691, 1.386], [5.055, 2.467, 0.629]],
  "species": ["Sc", "Sc", "Tc", "Zr"],
  "fractional_positions": [[0.998, 0.998, 0.995], [0.788, 0.288, 0.576], [0.506, 0.506, 0.012], [0.208, 0.708, 0.416]]
}

***

Version B
{
  "formula": "ZrSc2Tc",
  "functional": "PBEsol",
  "state": "optimized geometry",
  "crystal_system": "tetragonal",
  "lattice": [[-2.460, -1.243, -2.875], [-1.455, -2.783, 2.449], [-3.355, 3.100, 1.529]],
  "species": ["Sc", "Sc", "Tc", "Zr"],
  "fractional_positions": [[0.000, 0.500, 0.000], [0.500, 0.000, 0.000], [0.500, 0.500, 0.500], [0.000, 0.000, 0.500]]
}

***

Quick one: most stable of them? version A

***

Version A
{
  "formula": "Ba2WCl",
  "functional": "PBEsol",
  "state": "optimized geometry",
  "crystal_system": "orthorhombic",
  "lattice": [[3.362, 0.000, 0.000], [0.000, 5.376, 0.000], [0.000, 0.000, 6.178]],
  "species": ["Ba", "Ba", "W", "Cl"],
  "fractional_positions": [[0.875, 0.500, 0.000], [0.375, 0.000, 0.500], [0.875, 0.500, 0.500], [0.375, 0.000, 0.000]]
}

***

Version B
{
  "formula": "Ba2WCl",
  "functional": "PBEsol",
  "state": "optimized geometry",
  "crystal_system": "trigonal",
  "lattice": [[-3.208, 1.596, 0.121], [-2.080, 0.066, -2.919], [-6.305, -8.802, 2.093]],
  "species": ["Ba", "Ba", "W", "Cl"],
  "fractional_positions": [[0.983, 0.983, 0.051], [0.769, 0.769, 0.692], [0.241, 0.241, 0.276], [0.506, 0.506, 0.482]]
}

***

Quick one: most stable of them? version A

***

Version A
{
  "formula": "Tl2HgMo",
  "functional": "PBEsol",
  "state": "optimized geometry",
  "crystal_system": "orthorhombic",
  "lattice": [[-1.183, -0.789, -2.566], [-2.952, -3.035, 2.295], [-2.461, 6.774, 0.729]],
  "species": ["Hg", "Mo", "Tl", "Tl"],
  "fractional_positions": [[0.567, 0.567, 0.134], [0.250, 0.750, 0.500], [0.938, 0.937, 0.875], [0.745, 0.245, 0.491]]
}

***

Version B
{
  "formula": "Tl2HgMo",
  "functional": "PBEsol",
  "state": "optimized geometry",
  "crystal_system": "orthorhombic",
  "lattice": [[-2.469, -1.330, 1.085], [1.319, -0.186, 2.696], [-3.616, 8.641, 2.364]],
  "species": ["Hg", "Mo", "Tl", "Tl"],
  "fractional_positions": [[0.000, 0.000, 0.466], [0.500, 0.500, 0.262], [0.000, 0.000, 0.035], [0.500, 0.500, 0.737]]
}

***

Quick one: most stable of them? version B

***

Version A
{
  "formula": "SiRhBr2",
  "functional": "PBEsol",
  "state": "optimized geometry",
  "crystal_system": "cubic",
  "lattice": [[-0.049, 4.226, -1.993], [-3.832, 2.661, 0.258], [-0.003, 3.839, 2.663]],
  "species": ["Br", "Br", "Rh", "Si"],
  "fractional_positions": [[0.000, 0.000, 0.000], [0.250, 0.250, 0.250], [0.500, 0.500, 0.500], [0.750, 0.750, 0.750]]
}

***

Version B
{
  "formula": "SiRhBr2",
  "functional": "PBEsol",
  "state": "optimized geometry",
  "crystal_system": "tetragonal",
  "lattice": [[4.704, -0.059, 0.000], [-0.866, 4.621, 0.000], [-1.919, -2.281, 3.632]],
  "species": ["Br", "Br", "Rh", "Si"],
  "fractional_positions": [[0.000, 0.000, 0.500], [0.500, 0.500, 0.500], [0.500, 0.000, 0.000], [0.000, 0.500, 0.000]]
}

***

Quick one: most stable of them? version B

***

Version A
{
  "formula": "K2LaBr",
  "functional": "PBEsol",
  "state": "optimized geometry",
  "crystal_system": "monoclinic",
  "lattice": [[3.981, 0.002, 0.030], [1.991, 3.448, 0.030], [1.816, 1.049, 12.173]],
  "species": ["Br", "K", "K", "La"],
  "fractional_positions": [[0.756, 0.756, 0.740], [0.027, 0.027, 0.931], [0.238, 0.238, 0.265], [0.479, 0.479, 0.564]]
}

***

Version B
{
  "formula": "K2LaBr",
  "functional": "PBEsol",
  "state": "optimized geometry",
  "crystal_system": "orthorhombic",
  "lattice": [[3.907, 0.037, 0.000], [-1.793, 3.471, 0.000], [0.000, 0.000, 12.426]],
  "species": ["Br", "K", "K", "La"],
  "fractional_positions": [[0.500, 0.500, 0.258], [0.000, 0.000, 0.062], [0.500, 0.500, 0.736], [0.000, 0.000, 0.445]]
}

***

Quick one: most stable of them? version A

***

Version A
{
  "formula": "Cd2In2Pb",
  "functional": "PBEsol",
  "state": "optimized geometry",
  "crystal_system": "tetragonal",
  "lattice": [[-1.220, 3.522, -2.396], [1.221, -2.098, -3.706], [-6.004, -3.184, 2.472]],
  "species": ["Pb", "In", "In", "Cd", "Cd"],
  "fractional_positions": [[0.000, 0.000, 0.000], [0.394, 0.394, 0.788], [0.606, 0.606, 0.212], [0.250, 0.750, 0.500], [0.750, 0.250, 0.500]]
}

***

Version B
{
  "formula": "Cd2In2Pb",
  "functional": "PBEsol",
  "state": "optimized geometry",
  "crystal_system": "tetragonal",
  "lattice": [[-2.111, 2.462, 0.362], [-1.093, -2.174, 8.404], [6.582, 5.315, 2.231]],
  "species": ["Pb", "Pb", "Cd", "Cd", "Cd", "Cd", "In", "In", "In", "In"],
  "fractional_positions": [[0.000, 0.000, 0.000], [0.000, 0.500, 0.500], [0.500, 0.154, 0.654], [0.500, 0.654, 0.846], [0.500, 0.846, 0.346], [0.500, 0.346, 0.154], [0.000, 0.356, 0.856], [0.000, 0.856, 0.644], [0.000, 0.644, 0.144], [0.000, 0.144, 0.356]]
}

***

Quick one: most stable of them? version B

***

Version A
{
  "formula": "LiAgAu2",
  "functional": "PBEsol",
  "state": "optimized geometry",
  "crystal_system": "cubic",
  "lattice": [[4.494, 0.000, 0.000], [2.247, 3.892, 0.000], [2.247, 1.297, 3.670]],
  "species": ["Au", "Au", "Ag", "Li"],
  "fractional_positions": [[0.250, 0.250, 0.250], [0.750, 0.750, 0.750], [0.000, 0.000, 0.000], [0.500, 0.500, 0.500]]
}

***

Version B
{
  "formula": "LiAgAu2",
  "functional": "PBEsol",
  "state": "optimized geometry",
  "crystal_system": "orthorhombic",
  "lattice": [[-2.454, -0.148, -1.386], [1.655, -2.569, -2.656], [-1.550, -4.307, 3.200]],
  "species": ["Au", "Au", "Ag", "Li"],
  "fractional_positions": [[0.000, 0.000, 0.756], [0.000, 0.000, 0.244], [0.500, 0.500, 0.500], [0.500, 0.500, 0.000]]
}

***

Quick one: most stable of them? version B

***

Version A
{
  "formula": "CrCl2",
  "functional": "PBEsol",
  "state": "optimized geometry",
  "crystal_system": "orthorhombic",
  "lattice": [[-1.160, 2.893, -1.339], [-5.399, -2.419, -0.549], [-1.229, 1.024, 7.575]],
  "species": ["Cr", "Cr", "Cl", "Cl", "Cl", "Cl"],
  "fractional_positions": [[0.317, 0.750, 0.634], [0.683, 0.250, 0.366], [0.706, 0.750, 0.413], [0.921, 0.750, 0.842], [0.079, 0.250, 0.158], [0.294, 0.250, 0.587]]
}

***

Version B
{
  "formula": "CrCl2",
  "functional": "PBEsol",
  "state": "optimized geometry",
  "crystal_system": "orthorhombic",
  "lattice": [[3.557, 0.000, 0.000], [0.000, 5.879, 0.000], [0.000, 0.000, 5.997]],
  "species": ["Cr", "Cr", "Cl", "Cl", "Cl", "Cl"],
  "fractional_positions": [[0.000, 0.000, 0.000], [0.500, 0.500, 0.500], [0.000, 0.703, 0.317], [0.000, 0.297, 0.683], [0.500, 0.203, 0.183], [0.500, 0.797, 0.817]]
}

***

Quick one: most stable of them? version B

***

Version A
{
  "formula": "Cu2Pt",
  "functional": "PBEsol",
  "state": "optimized geometry",
  "crystal_system": "monoclinic",
  "lattice": [[-2.777, 3.467, 2.817], [-0.395, -0.585, 5.241], [3.829, 5.227, 2.253]],
  "species": ["Cu", "Cu", "Cu", "Cu", "Cu", "Cu", "Cu", "Cu", "Pt", "Pt", "Pt", "Pt"],
  "fractional_positions": [[0.006, 0.992, 0.995], [0.495, 0.835, 0.675], [0.002, 0.665, 0.330], [0.492, 0.506, 0.997], [0.005, 0.506, 0.997], [0.495, 0.334, 0.676], [0.506, 0.998, 0.991], [0.995, 0.835, 0.675], [0.990, 0.342, 0.679], [0.506, 0.162, 0.327], [0.004, 0.162, 0.327], [0.503, 0.662, 0.333]]
}

***

Version B
{
  "formula": "Cu2Pt",
  "functional": "PBEsol",
  "state": "optimized geometry",
  "crystal_system": "tetragonal",
  "lattice": [[3.684, 0.000, 0.000], [0.000, 3.684, 0.000], [-1.842, -1.842, 11.159]],
  "species": ["Cu", "Cu", "Cu", "Cu", "Cu", "Cu", "Cu", "Cu", "Pt", "Pt", "Pt", "Pt"],
  "fractional_positions": [[0.750, 0.750, 0.499], [0.250, 0.250, 0.501], [0.000, 0.500, 0.999], [0.500, 0.000, 0.001], [0.582, 0.582, 0.164], [0.418, 0.418, 0.836], [0.832, 0.332, 0.664], [0.668, 0.168, 0.336], [0.919, 0.919, 0.838], [0.081, 0.081, 0.162], [0.169, 0.669, 0.338], [0.331, 0.831, 0.662]]
}

***

Quick one: most stable of them? version B

***

Version A
{
  "formula": "CoMo5",
  "functional": "PBEsol",
  "state": "optimized geometry",
  "crystal_system": "cubic",
  "lattice": [[-3.648, 1.935, 2.950], [-4.879, -0.708, -1.203], [-2.887, -3.080, 2.816]],
  "species": ["Co", "Mo", "Mo", "Mo", "Mo", "Mo"],
  "fractional_positions": [[0.000, 0.000, 0.000], [0.375, 0.375, 0.375], [0.750, 0.750, 0.750], [0.875, 0.375, 0.375], [0.375, 0.875, 0.375], [0.375, 0.375, 0.875]]
}

***

Version B
{
  "formula": "CoMo5",
  "functional": "PBEsol",
  "state": "optimized geometry",
  "crystal_system": "orthorhombic",
  "lattice": [[-0.285, -2.195, 1.310], [2.268, -2.206, -3.203], [6.631, 2.445, 3.012]],
  "species": ["Co", "Mo", "Mo", "Mo", "Mo", "Mo"],
  "fractional_positions": [[0.998, 0.000, 0.996], [0.229, 0.500, 0.457], [0.334, 0.000, 0.667], [0.556, 0.500, 0.111], [0.652, 0.000, 0.304], [0.898, 0.500, 0.797]]
}

***

Quick one: most stable of them? version B

***

Version A
{
  "formula": "Y2TlOs",
  "functional": "PBEsol",
  "state": "optimized geometry",
  "crystal_system": "tetragonal",
  "lattice": [[-1.284, -1.611, 2.705], [1.810, -2.769, -0.790], [5.967, 2.642, 4.406]],
  "species": ["Y", "Y", "Tl", "Os"],
  "fractional_positions": [[0.000, 0.000, 0.292], [0.000, 0.000, 0.708], [0.500, 0.500, 0.000], [0.500, 0.500, 0.500]]
}

***

Version B
{
  "formula": "Y2TlOs",
  "functional": "PBEsol",
  "state": "optimized geometry",
  "crystal_system": "tetragonal",
  "lattice": [[-2.406, -2.206, -0.938], [2.394, -2.281, -0.774], [-0.309, -2.931, 7.682]],
  "species": ["Os", "Tl", "Y", "Y"],
  "fractional_positions": [[0.000, 0.000, 0.515], [0.500, 0.500, 0.707], [0.000, 0.000, 0.957], [0.500, 0.500, 0.321]]
}

***

Quick one: most stable of them? version A

***

Version A
{
  "formula": "AsIr2Pb",
  "functional": "PBEsol",
  "state": "optimized geometry",
  "crystal_system": "orthorhombic",
  "lattice": [[2.984, 0.000, 0.000], [0.000, 4.527, 0.000], [0.000, 0.000, 5.117]],
  "species": ["Pb", "As", "Ir", "Ir"],
  "fractional_positions": [[0.500, 0.500, 0.000], [0.000, 0.500, 0.500], [0.000, 0.000, 0.000], [0.500, 0.000, 0.500]]
}

***

Version B
{
  "formula": "AsIr2Pb",
  "functional": "PBEsol",
  "state": "optimized geometry",
  "crystal_system": "monoclinic",
  "lattice": [[-0.806, 2.961, -0.167], [-0.301, -0.337, -4.530], [-4.549, -1.104, 2.372]],
  "species": ["Pb", "As", "Ir", "Ir"],
  "fractional_positions": [[0.500, 0.500, 0.000], [0.000, 0.500, 0.500], [0.000, 0.000, 0.000], [0.500, 0.000, 0.500]]
}

***

Quick one: most stable of them? version B